(1)
The following is a PBE calculation of a geometry-optimized Nd8PRh3I3 structure, from Alexandria via LeMat-Bulk.

abc: 9.2348 9.2348 9.2348
angles: 54.37 54.37 54.37
Last column: nearest neighbours and their distance in Å.
Sites, in units of the cell vectors:
Nd 0.2228 0.7337 0.7337  2 Rh 2.83, 1 P 2.90
Nd 0.2304 0.2304 0.2304  3 Rh 2.86
Nd 0.2663 0.2663 0.7772  2 Rh 2.83, 1 P 2.90
Nd 0.2663 0.7772 0.2663  2 Rh 2.83, 1 P 2.90
Nd 0.7337 0.2228 0.7337  2 Rh 2.83, 1 P 2.90
Nd 0.7337 0.7337 0.2228  2 Rh 2.83, 1 P 2.90
Nd 0.7696 0.7696 0.7696  3 Rh 2.86
Nd 0.7772 0.2663 0.2663  2 Rh 2.83, 1 P 2.90
P 0.5000 0.5000 0.5000  6 Nd 2.90
Rh 0.0000 0.0000 0.5000  6 Nd 2.83-2.86
Rh 0.0000 0.5000 0.0000  6 Nd 2.83-2.86
Rh 0.5000 0.0000 0.0000  6 Nd 2.83-2.86
I 0.0000 0.5000 0.5000  6 Nd 3.44-3.46
I 0.5000 0.0000 0.5000  6 Nd 3.44-3.46
I 0.5000 0.5000 0.0000  6 Nd 3.44-3.46

Values from the calculation:
magnetization = 0.000 μB/cell
ΔE_f (raw) = -1252.6 kJ/mol of formula units
space group = R-3m



(2)
The following is a PBE calculation of a geometry-optimized Nd8P3RhI4 structure, from Alexandria via LeMat-Bulk.

abc: 9.1165 9.1165 9.1165
angles: 55.58 55.58 55.58
Last column: nearest neighbours and their distance in Å.
Sites, in units of the cell vectors:
Nd 0.2304 0.2304 0.2304  3 P 2.86
Nd 0.2347 0.7276 0.7276  1 Rh 2.83, 2 P 2.87
Nd 0.2724 0.2724 0.7653  1 Rh 2.83, 2 P 2.87
Nd 0.2724 0.7653 0.2724  1 Rh 2.83, 2 P 2.87
Nd 0.7276 0.2347 0.7276  1 Rh 2.83, 2 P 2.87
Nd 0.7276 0.7276 0.2347  1 Rh 2.83, 2 P 2.87
Nd 0.7653 0.2724 0.2724  1 Rh 2.83, 2 P 2.87
Nd 0.7696 0.7696 0.7696  3 P 2.86
P 0.0000 0.0000 0.5000  6 Nd 2.86-2.87
P 0.0000 0.5000 0.0000  6 Nd 2.86-2.87
P 0.5000 0.0000 0.0000  6 Nd 2.86-2.87
Rh 0.5000 0.5000 0.5000  6 Nd 2.83
I 0.0000 0.0000 0.0000  6 Nd 3.44
I 0.0000 0.5000 0.5000  6 Nd 3.41
I 0.5000 0.0000 0.5000  6 Nd 3.41
I 0.5000 0.5000 0.0000  6 Nd 3.41

Values from the calculation:
magnetization = 0.000 μB/cell
ΔE_f (raw) = -1875.0 kJ/mol of formula units
space group = R-3m



(3)
The following is a PBE calculation of a geometry-optimized Nd4PRuI2 structure, from Alexandria via LeMat-Bulk.

abc: 7.5359 4.1485 8.2048
angles: 90.00 105.72 90.00
Last column: nearest neighbours and their distance in Å.
Sites, in units of the cell vectors:
Nd 0.2224 0.0000 0.1872  2 Ru 2.84, 1 P 2.91
Nd 0.2577 0.5000 0.8186  1 Ru 2.75, 2 P 2.89
Nd 0.7423 0.5000 0.1814  1 Ru 2.75, 2 P 2.89
Nd 0.7776 0.0000 0.8128  2 Ru 2.84, 1 P 2.91
P 0.5000 0.0000 0.0000  6 Nd 2.89-2.91
Ru 0.0000 0.5000 0.0000  6 Nd 2.75-2.84
I 0.0000 0.0000 0.5000  6 Nd 3.42-3.49
I 0.5000 0.5000 0.5000  6 Nd 3.52-3.57

Values from the calculation:
magnetization = 0.000 μB/cell
ΔE_f (raw) = -753.4 kJ/mol of formula units
space group = P2/m



(4)
The following is a PBE calculation of a geometry-optimized Nd8P3SI4 structure, from Alexandria via LeMat-Bulk.

abc: 9.0878 9.0878 9.0878
angles: 55.31 55.31 55.31
Last column: nearest neighbours and their distance in Å.
Sites, in units of the cell vectors:
Nd 0.2292 0.2292 0.2292  3 P 2.83
Nd 0.2296 0.7281 0.7281  1 S 2.82, 2 P 2.82
Nd 0.2719 0.2719 0.7704  1 S 2.82, 2 P 2.82
Nd 0.2719 0.7704 0.2719  1 S 2.82, 2 P 2.82
Nd 0.7281 0.2296 0.7281  1 S 2.82, 2 P 2.82
Nd 0.7281 0.7281 0.2296  1 S 2.82, 2 P 2.82
Nd 0.7704 0.2719 0.2719  1 S 2.82, 2 P 2.82
Nd 0.7708 0.7708 0.7708  3 P 2.83
P 0.0000 0.0000 0.5000  6 Nd 2.82-2.83
P 0.0000 0.5000 0.0000  6 Nd 2.82-2.83
P 0.5000 0.0000 0.0000  6 Nd 2.82-2.83
S 0.5000 0.5000 0.5000  6 Nd 2.82
I 0.0000 0.0000 0.0000  6 Nd 3.43
I 0.0000 0.5000 0.5000  6 Nd 3.42
I 0.5000 0.0000 0.5000  6 Nd 3.42
I 0.5000 0.5000 0.0000  6 Nd 3.42

Values from the calculation:
magnetization = 0.000 μB/cell
ΔE_f (raw) = -2160.3 kJ/mol of formula units
space group = R-3m



Number 1: V 483.74 Å³/cell, total energy -83.240 eV per formula unit. Number 2: V 480.76 Å³/cell, total energy -87.357 eV per formula unit. Number 3: V 246.91 Å³/cell, total energy -44.666 eV per formula unit. Number 4: V 472.83 Å³/cell, total energy -87.091 eV per formula unit.